Computed, not measured: an optimized crystal structure of NaNd2Au3 at the PBE level of DFT.

abc: 5.1840 5.1840 12.5969
angles: 90.00 90.00 120.00
Space group P-3m1 (No. 164)
One atom of each set of equivalent atoms:
Na1 0.3333 0.6667 0.1692
Nd1 0.0000 0.0000 0.0000
Nd2 0.0000 0.0000 0.5000
Nd3 0.3333 0.6667 0.6824
Au1 0.0000 0.0000 0.2534
Au2 0.3333 0.6667 0.4299
Au3 0.3333 0.6667 0.9300

Output
ΔE_f = -0.652 eV/atom
magnetic moment = 0.0 Bohr magnetons per cell
raw total energy = -4.10 eV per atom